1.
Compound: CaTeN2Cl
Source: Alexandria
Functional: PBEsol
Structure: relaxed

## Properties
**Electronic total energy**: -3.681 eV/atom
**Raw formation energy**: 609 kJ/mol of formula units

The structure in POSCAR format:
```
CaTeN2Cl
1.0
4.479 0.000 0.000
0.000 4.479 0.000
0.000 0.000 6.444
Ca Te N Cl
1 1 2 1
direct
0.000 0.000 0.000
0.000 0.000 0.500
0.000 0.500 0.000
0.500 0.000 0.000
0.500 0.500 0.500
```

***

2.
Compound: BaZrIn
Source: Alexandria
Functional: PBEsol
Structure: relaxed

## Properties
**Electronic total energy**: -4.181 eV/atom
**Energy of formation**: 0.56 eV per atom
**Polymorph energy (0 for the lowest one)**: 0.000 eV/atom

The structure in POSCAR format:
```
BaZrIn
1.0
0.000 3.613 3.613
3.613 0.000 3.613
3.613 3.613 0.000
Ba Zr In
1 1 1
direct
0.000 0.000 0.000
0.250 0.250 0.250
0.500 0.500 0.500
```